First-principles (PBE with a Hubbard U) data for an optimized crystal structure of Sc3WF, as listed in Alexandria via LeMat-Bulk. Values from VASP.

The structure in Quantum ESPRESSO input format:
```
&SYSTEM
  ibrav = 0, nat = 5, ntyp = 3
/
ATOMIC_SPECIES
Sc 44.96 Sc.upf
W 183.84 W.upf
F 19.00 F.upf
CELL_PARAMETERS angstrom
5.208 0.000 0.000
0.000 5.208 0.000
0.000 0.000 5.208
ATOMIC_POSITIONS crystal
Sc 0.000 0.000 0.500
Sc 0.000 0.500 0.000
Sc 0.500 0.000 0.000
W 0.000 0.000 0.000
F 0.500 0.500 0.500
```

Relative energy among the computed polymorphs (meV/atom): 1135
E (eV/atom): -5.067